Compound: YSi2As
Source: the Alexandria database
Functional: GGA-PBE
Structure: relaxed

Calculated values
Energy relative to the elements, uncorrected, eV per formula unit: -0.802
Magnetization, μB/f.u.: 0.00

Cell and atoms, written as CIF:
```
data_YSi2As
_chemical_formula_sum 'Y2 Si4 As2'
_cell_length_a 4.0239
_cell_length_b 4.0239
_cell_length_c 9.5701
_cell_angle_alpha 90.00
_cell_angle_beta 90.00
_cell_angle_gamma 90.00
_symmetry_space_group_name_H-M 'I -4 m 2'
_symmetry_Int_Tables_number 119
_symmetry_space_group_name_Hall 'I -4 -2'
loop_
_atom_site_label
_atom_site_type_symbol
_atom_site_fract_x
_atom_site_fract_y
_atom_site_fract_z
_atom_site_occupancy
Y1 Y 0.0000 0.0000 0.0000 1
Si1 Si 0.0000 0.0000 0.5000 1
Si2 Si 0.0000 0.5000 0.2500 1
As1 As 0.0000 0.5000 0.7500 1
```

***

Compound: La2MoPt
Source: the Alexandria database
Functional: GGA-PBE
Structure: relaxed

Calculated values
Magnetization, μB/f.u.: 0.00
Calculated formation energy, eV per formula unit: -0.2
Polymorph energy (0 for the lowest one), eV/atom: 0.163

Cell and atoms, written as CIF:
```
data_La2MoPt
_chemical_formula_sum 'La8 Mo4 Pt4'
_cell_length_a 7.2612
_cell_length_b 7.2612
_cell_length_c 7.2612
_cell_angle_alpha 90.00
_cell_angle_beta 90.00
_cell_angle_gamma 90.00
_symmetry_space_group_name_H-M 'F m -3 m'
_symmetry_Int_Tables_number 225
_symmetry_space_group_name_Hall '-F 4 2 3'
loop_
_atom_site_label
_atom_site_type_symbol
_atom_site_fract_x
_atom_site_fract_y
_atom_site_fract_z
_atom_site_occupancy
La1 La 0.2500 0.2500 0.2500 1
Mo1 Mo 0.0000 0.0000 0.0000 1
Pt1 Pt 0.0000 0.0000 0.5000 1
```

***

Compound: SrCeMg2In4
Source: the Alexandria database
Functional: GGA-PBE
Structure: relaxed

Calculated values
Magnetization, μB/f.u.: 0.97
Calculated formation energy, eV per formula unit: -2.3

Cell and atoms, written as CIF:
```
data_SrCeMg2In4
_chemical_formula_sum 'Sr3 Ce3 Mg6 In12'
_cell_length_a 5.3193
_cell_length_b 5.3193
_cell_length_c 26.2653
_cell_angle_alpha 90.00
_cell_angle_beta 90.00
_cell_angle_gamma 120.00
_symmetry_space_group_name_H-M 'R -3 m'
_symmetry_Int_Tables_number 166
_symmetry_space_group_name_Hall '-R 3 2"'
loop_
_atom_site_label
_atom_site_type_symbol
_atom_site_fract_x
_atom_site_fract_y
_atom_site_fract_z
_atom_site_occupancy
Sr1 Sr 0.0000 0.0000 0.0000 1
Ce1 Ce 0.0000 0.0000 0.5000 1
Mg1 Mg 0.0000 0.0000 0.2494 1
In1 In 0.0000 0.0000 0.1262 1
In2 In 0.0000 0.0000 0.3771 1
```

***

Compound: Al2Zn2Pd7
Source: the Alexandria database
Functional: GGA-PBE
Structure: relaxed

Calculated values
Magnetization, μB/f.u.: 0.00
Calculated formation energy, eV per formula unit: -6.4

Cell and atoms, written as CIF:
```
data_Al2Zn2Pd7
_chemical_formula_sum 'Al2 Zn2 Pd7'
_cell_length_a 4.9912
_cell_length_b 5.6315
_cell_length_c 6.4264
_cell_angle_alpha 109.94
_cell_angle_beta 95.83
_cell_angle_gamma 102.38
_symmetry_space_group_name_H-M 'P -1'
_symmetry_Int_Tables_number 2
_symmetry_space_group_name_Hall '-P 1'
loop_
_atom_site_label
_atom_site_type_symbol
_atom_site_fract_x
_atom_site_fract_y
_atom_site_fract_z
_atom_site_occupancy
Al1 Al 0.1471 0.0610 0.2269 1
Zn1 Zn 0.4319 0.1582 0.6943 1
Pd1 Pd 0.0467 0.7263 0.4131 1
Pd2 Pd 0.2280 0.3877 0.0391 1
Pd3 Pd 0.2897 0.7910 0.8600 1
Pd4 Pd 0.5000 0.5000 0.5000 1
```

***

What did the fourth record say?
Compound: Al2Zn2Pd7
Source: the Alexandria database
Functional: GGA-PBE
Structure: relaxed

Calculated values
Magnetization, μB/f.u.: 0.00
Calculated formation energy, eV per formula unit: -6.4

Cell and atoms, written as CIF:
```
data_Al2Zn2Pd7
_chemical_formula_sum 'Al2 Zn2 Pd7'
_cell_length_a 4.9912
_cell_length_b 5.6315
_cell_length_c 6.4264
_cell_angle_alpha 109.94
_cell_angle_beta 95.83
_cell_angle_gamma 102.38
_symmetry_space_group_name_H-M 'P -1'
_symmetry_Int_Tables_number 2
_symmetry_space_group_name_Hall '-P 1'
loop_
_atom_site_label
_atom_site_type_symbol
_atom_site_fract_x
_atom_site_fract_y
_atom_site_fract_z
_atom_site_occupancy
Al1 Al 0.1471 0.0610 0.2269 1
Zn1 Zn 0.4319 0.1582 0.6943 1
Pd1 Pd 0.0467 0.7263 0.4131 1
Pd2 Pd 0.2280 0.3877 0.0391 1
Pd3 Pd 0.2897 0.7910 0.8600 1
Pd4 Pd 0.5000 0.5000 0.5000 1
```